Density functional theory data (meta-GGA SCAN) for a crystal of Ge3SbI relaxed with PBEsol.

Structure (POSCAR):
```
Ge3SbI
1.0
5.339 0.000 0.000
0.000 5.339 0.000
0.000 0.000 5.339
Ge Sb I
3 1 1
Direct
0.000 0.000 0.500 Ge
0.000 0.500 0.000 Ge
0.500 0.000 0.000 Ge
0.500 0.500 0.500 Sb
0.000 0.000 0.000 I
```

Values from the calculation:
Crystal system: cubic
E_form (uncorrected), eV/f.u.: 6.46
Symmetry: Pm-3m

=====

Density functional theory data (meta-GGA SCAN) for a crystal of Ge2SbI relaxed with PBEsol.

Structure (POSCAR):
```
Ge2SbI
1.0
0.000 3.636 3.636
3.636 0.000 3.636
3.636 3.636 0.000
Ge Sb I
2 1 1
Direct
0.250 0.250 0.250 Ge
0.750 0.750 0.750 Ge
0.000 0.000 0.000 Sb
0.500 0.500 0.500 I
```

Values from the calculation:
Crystal system: cubic
E_form (uncorrected), eV/f.u.: 1.95
Symmetry: Fm-3m

=====

Density functional theory data (meta-GGA SCAN) for a crystal of GeSbTe2I relaxed with PBEsol.

Structure (POSCAR):
```
GeSbTe2I
1.0
5.700 0.000 0.000
0.000 5.700 0.000
0.000 0.000 5.641
Ge Sb Te I
1 1 2 1
Direct
0.000 0.000 0.000 Ge
0.500 0.500 0.500 Sb
0.000 0.500 0.500 Te
0.500 0.000 0.500 Te
0.500 0.500 0.000 I
```

Values from the calculation:
Crystal system: tetragonal
E_form (uncorrected), eV/f.u.: 3.31
Symmetry: P4/mmm

=====

E (eV for the cell shown)
-124.8; -110.2; -164.3